Density functional theory data (GGA-PBE) for InBTe2N after structural relaxation.

Output
spin magnetization: 0.00 μB/f.u.
formation energy without anion corrections: 1.81 eV/atom

Lattice parameters (Å, degrees): 5.619 5.619 4.059 90.00 90.00 90.00
Positions (direct):
1 N 0.000 0.000 0.500
2 Te 0.000 0.500 0.000
3 Te 0.500 0.000 0.000
4 B 0.500 0.500 0.500
5 In 0.000 0.000 0.000